# 1
Computed, not measured: a geometry-optimized BeAl2CCl structure at the PBE-GGA level of DFT.

Cell and atoms, written as POSCAR:
```
BeAl2CCl
1.0
3.7478 0.0000 0.0000
0.0000 3.7478 0.0000
0.0000 0.0000 6.5591
Be Al C Cl
1 2 1 1
Direct
0.0000 0.0000 0.0000 Be
0.0000 0.5000 0.5000 Al
0.5000 0.0000 0.5000 Al
0.5000 0.5000 0.5000 C
0.5000 0.5000 0.0000 Cl
```

Computed properties:
symmetry = P4/mmm
raw formation energy = 696 meV per atom

***

# 2
Computed, not measured: a geometry-optimized BeAlFe2C structure at the PBE-GGA level of DFT.

Cell and atoms, written as POSCAR:
```
BeAlFe2C
1.0
3.7679 0.0000 0.0000
0.0000 3.7679 0.0000
0.0000 0.0000 3.4631
Be Al Fe C
1 1 2 1
Direct
0.0000 0.0000 0.0000 Be
0.5000 0.5000 0.0000 Al
0.0000 0.5000 0.5000 Fe
0.5000 0.0000 0.5000 Fe
0.0000 0.0000 0.5000 C
```

Computed properties:
symmetry = P4/mmm
ΔH_f (0 K) = -51 kJ/mol of formula units

***

Number 1: E_tot -18.80 eV/cell. Number 2: E_tot -34.14 eV/cell.